[1]
Computed, not measured: a geometry-optimized GdDyLu structure at the PBE level of DFT.

Results
- magnetization (μB per cell) = 14.621
- energy relative to the elements (kJ/mol of atoms) = 3
- calculated total energy (eV/atom) = -7.707

```
6
Lattice="3.5333 0.0000 0.0000 0.0000 3.5333 0.0000 0.0000 0.0000 14.9449" Properties=species:S:1:pos:R:3 pbc="T T T"
Gd 0.0000 0.0000 0.0000
Gd 1.7666 1.7666 7.4725
Dy 0.0000 0.0000 10.0072
Dy 1.7666 1.7666 2.5347
Lu 0.0000 0.0000 4.9681
Lu 1.7666 1.7666 12.4406
```

[2]
Computed, not measured: a geometry-optimized Gd2DyLu structure at the PBE level of DFT.

Results
- magnetization (μB per cell) = 14.561
- energy relative to the elements (kJ/mol of atoms) = 3
- calculated total energy (eV/atom) = -9.291

```
4
Lattice="5.0093 0.0000 0.0000 0.0000 5.0093 0.0000 0.0000 0.0000 4.9848" Properties=species:S:1:pos:R:3 pbc="T T T"
Gd 0.0000 2.5047 0.0000
Gd 2.5047 0.0000 0.0000
Dy 0.0000 0.0000 2.4924
Lu 2.5047 2.5047 2.4924
```